# 1
# Li6AgSb2 GGA-PBE relaxed
data_Li6AgSb2
_chemical_formula_sum 'Li6 Ag1 Sb2'
_cell_length_a 4.6781
_cell_length_b 4.6934
_cell_length_c 8.5260
_cell_angle_alpha 90.46
_cell_angle_beta 90.00
_cell_angle_gamma 119.89
_space_group_name_H-M_alt 'P 1'
_space_group_IT_number 1
loop_
_space_group_symop_operation_xyz
'x,y,z'
loop_
_atom_site_label
_atom_site_fract_x
_atom_site_fract_y
_atom_site_fract_z
Sb1 0.3348 0.6695 0.2514
Sb2 0.6652 0.3305 0.7486
Li1 0.3329 0.6658 0.5956
Li2 0.9986 0.9971 0.8110
Li3 0.6669 0.3339 0.0757
Li4 0.3331 0.6661 0.9243
Li5 0.6671 0.3342 0.4044
Li6 0.0014 0.0029 0.1890
Ag1 0.0000 0.0000 0.5000
# calculated total energy: -26.8 eV for the cell shown
# formation energy from raw total energies: -0.466 eV per atom

# 2
# Li4Ag2Sb GGA-PBE relaxed
data_Li4Ag2Sb
_chemical_formula_sum 'Li4 Ag2 Sb1'
_cell_length_a 5.0563
_cell_length_b 5.0563
_cell_length_c 7.6680
_cell_angle_alpha 70.75
_cell_angle_beta 70.75
_cell_angle_gamma 90.00
_space_group_name_H-M_alt 'P 1'
_space_group_IT_number 1
loop_
_space_group_symop_operation_xyz
'x,y,z'
loop_
_atom_site_label
_atom_site_fract_x
_atom_site_fract_y
_atom_site_fract_z
Ag1 0.3944 0.3944 0.2113
Ag2 0.6056 0.6056 0.7887
Li1 0.8042 0.8042 0.3916
Li2 0.0000 0.5000 0.0000
Li3 0.5000 0.0000 0.0000
Li4 0.1958 0.1958 0.6084
Sb1 0.0000 0.0000 0.0000
# calculated total energy: -17.5 eV for the cell shown
# formation energy from raw total energies: -0.001 eV per atom

# 3
# LiAg6Sb2 GGA-PBE relaxed
data_LiAg6Sb2
_chemical_formula_sum 'Li2 Ag12 Sb4'
_cell_length_a 7.2226
_cell_length_b 7.2226
_cell_length_c 8.6826
_cell_angle_alpha 90.00
_cell_angle_beta 90.00
_cell_angle_gamma 90.00
_space_group_name_H-M_alt 'P 1'
_space_group_IT_number 1
loop_
_space_group_symop_operation_xyz
'x,y,z'
loop_
_atom_site_label
_atom_site_fract_x
_atom_site_fract_y
_atom_site_fract_z
Ag1 0.2517 0.2517 0.0000
Ag2 0.7320 0.7320 0.6623
Ag3 0.2320 0.7680 0.1623
Ag4 0.7680 0.2320 0.8377
Ag5 0.2483 0.7517 0.5000
Ag6 0.7517 0.2483 0.5000
Ag7 0.2680 0.2680 0.3377
Ag8 0.2320 0.7680 0.8377
Ag9 0.7320 0.7320 0.3377
Ag10 0.2680 0.2680 0.6623
Ag11 0.7483 0.7483 0.0000
Ag12 0.7680 0.2320 0.1623
Sb1 0.5000 0.5000 0.8197
Sb2 0.0000 0.0000 0.6803
Sb3 0.5000 0.5000 0.1803
Sb4 0.0000 0.0000 0.3197
Li1 0.5000 0.5000 0.5000
Li2 0.0000 0.0000 0.0000
# calculated total energy: -49.6 eV for the cell shown
# formation energy from raw total energies: 0.276 eV per atom

# 4
# LiAgSb3 GGA-PBE relaxed
data_LiAgSb3
_chemical_formula_sum 'Li1 Ag1 Sb3'
_cell_length_a 5.4321
_cell_length_b 5.4321
_cell_length_c 5.4321
_cell_angle_alpha 90.00
_cell_angle_beta 90.00
_cell_angle_gamma 90.00
_space_group_name_H-M_alt 'P 1'
_space_group_IT_number 1
loop_
_space_group_symop_operation_xyz
'x,y,z'
loop_
_atom_site_label
_atom_site_fract_x
_atom_site_fract_y
_atom_site_fract_z
Sb1 0.0000 0.5000 0.0000
Sb2 0.5000 0.0000 0.0000
Sb3 0.0000 0.0000 0.5000
Li1 0.5000 0.5000 0.5000
Ag1 0.0000 0.0000 0.0000
# calculated total energy: -14.9 eV for the cell shown
# formation energy from raw total energies: 0.449 eV per atom

# 5
# Li2Ag2Sb GGA-PBE relaxed
data_Li2Ag2Sb
_chemical_formula_sum 'Li4 Ag4 Sb2'
_cell_length_a 7.5479
_cell_length_b 7.5479
_cell_length_c 3.2380
_cell_angle_alpha 90.00
_cell_angle_beta 90.00
_cell_angle_gamma 90.00
_space_group_name_H-M_alt 'P 1'
_space_group_IT_number 1
loop_
_space_group_symop_operation_xyz
'x,y,z'
loop_
_atom_site_label
_atom_site_fract_x
_atom_site_fract_y
_atom_site_fract_z
Li1 0.6664 0.8336 0.5000
Li2 0.3336 0.1664 0.5000
Li3 0.1664 0.6664 0.5000
Li4 0.8336 0.3336 0.5000
Ag1 0.3698 0.8698 0.0000
Ag2 0.6302 0.1302 0.0000
Ag3 0.8698 0.6302 0.0000
Ag4 0.1302 0.3698 0.0000
Sb1 0.0000 0.0000 0.0000
Sb2 0.5000 0.5000 0.0000
# calculated total energy: -29.6 eV for the cell shown
# formation energy from raw total energies: -0.234 eV per atom

# 6
# LiAgSb2 GGA-PBE relaxed
data_LiAgSb2
_chemical_formula_sum 'Li1 Ag1 Sb2'
_cell_length_a 5.1059
_cell_length_b 5.1059
_cell_length_c 5.1059
_cell_angle_alpha 60.00
_cell_angle_beta 60.00
_cell_angle_gamma 60.00
_space_group_name_H-M_alt 'P 1'
_space_group_IT_number 1
loop_
_space_group_symop_operation_xyz
'x,y,z'
loop_
_atom_site_label
_atom_site_fract_x
_atom_site_fract_y
_atom_site_fract_z
Sb1 0.2500 0.2500 0.2500
Sb2 0.0000 0.0000 0.0000
Ag1 0.5000 0.5000 0.5000
Li1 0.7500 0.7500 0.7500
# calculated total energy: -12.9 eV for the cell shown
# formation energy from raw total energies: 0.020 eV per atom

# 7
# Li2Ag3Sb2 GGA-PBE relaxed
data_Li2Ag3Sb2
_chemical_formula_sum 'Li2 Ag3 Sb2'
_cell_length_a 4.4775
_cell_length_b 4.9907
_cell_length_c 8.8306
_cell_angle_alpha 120.74
_cell_angle_beta 90.00
_cell_angle_gamma 116.65
_space_group_name_H-M_alt 'P 1'
_space_group_IT_number 1
loop_
_space_group_symop_operation_xyz
'x,y,z'
loop_
_atom_site_label
_atom_site_fract_x
_atom_site_fract_y
_atom_site_fract_z
Li1 0.1113 0.2226 0.8470
Li2 0.8887 0.7774 0.1530
Ag1 0.3650 0.7299 0.6172
Ag2 0.5000 0.0000 0.0000
Ag3 0.6350 0.2701 0.3828
Sb1 0.7514 0.5029 0.7581
Sb2 0.2486 0.4971 0.2419
# calculated total energy: -22.1 eV for the cell shown
# formation energy from raw total energies: -0.218 eV per atom

# 8
# LiAg2Sb GGA-PBE relaxed
data_LiAg2Sb
_chemical_formula_sum 'Li1 Ag2 Sb1'
_cell_length_a 3.2413
_cell_length_b 4.0805
_cell_length_c 5.9245
_cell_angle_alpha 90.00
_cell_angle_beta 90.00
_cell_angle_gamma 90.00
_space_group_name_H-M_alt 'P 1'
_space_group_IT_number 1
loop_
_space_group_symop_operation_xyz
'x,y,z'
loop_
_atom_site_label
_atom_site_fract_x
_atom_site_fract_y
_atom_site_fract_z
Ag1 0.0000 0.0000 0.4867
Ag2 0.0000 0.0000 0.0133
Sb1 0.5000 0.5000 0.7500
Li1 0.5000 0.5000 0.2500
# calculated total energy: -12.2 eV for the cell shown
# formation energy from raw total energies: -0.103 eV per atom

# 9
# LiAgSb2 GGA-PBE relaxed
data_LiAgSb2
_chemical_formula_sum 'Li1 Ag1 Sb2'
_cell_length_a 3.7167
_cell_length_b 3.7167
_cell_length_c 6.5361
_cell_angle_alpha 90.00
_cell_angle_beta 90.00
_cell_angle_gamma 90.00
_space_group_name_H-M_alt 'P 1'
_space_group_IT_number 1
loop_
_space_group_symop_operation_xyz
'x,y,z'
loop_
_atom_site_label
_atom_site_fract_x
_atom_site_fract_y
_atom_site_fract_z
Ag1 0.5000 0.5000 0.2500
Li1 0.5000 0.5000 0.7500
Sb1 0.0000 0.0000 0.4950
Sb2 0.0000 0.0000 0.0050
# calculated total energy: -13.3 eV for the cell shown
# formation energy from raw total energies: -0.063 eV per atom

# 10
# Li6Ag5Sb GGA-PBE relaxed
data_Li6Ag5Sb
_chemical_formula_sum 'Li6 Ag5 Sb1'
_cell_length_a 4.3455
_cell_length_b 7.6839
_cell_length_c 7.6839
_cell_angle_alpha 114.44
_cell_angle_beta 106.32
_cell_angle_gamma 106.32
_space_group_name_H-M_alt 'P 1'
_space_group_IT_number 1
loop_
_space_group_symop_operation_xyz
'x,y,z'
loop_
_atom_site_label
_atom_site_fract_x
_atom_site_fract_y
_atom_site_fract_z
Ag1 0.5000 0.5000 0.5000
Ag2 0.5000 0.1695 0.8305
Ag3 0.0000 0.6665 0.3335
Ag4 0.0000 0.3335 0.6665
Ag5 0.5000 0.8305 0.1695
Li1 0.7529 0.2541 0.2541
Li2 0.2537 0.0878 0.4201
Li3 0.7463 0.5799 0.9122
Li4 0.2471 0.7459 0.7459
Li5 0.7463 0.9122 0.5799
Li6 0.2537 0.4201 0.0878
Sb1 0.0000 0.0000 0.0000
# calculated total energy: -33.2 eV for the cell shown
# formation energy from raw total energies: -0.275 eV per atom

# 11
# Li2Ag6Sb3 GGA-PBE relaxed
data_Li2Ag6Sb3
_chemical_formula_sum 'Li2 Ag6 Sb3'
_cell_length_a 4.9606
_cell_length_b 8.1073
_cell_length_c 18.6708
_cell_angle_alpha 35.49
_cell_angle_beta 54.74
_cell_angle_gamma 83.19
_space_group_name_H-M_alt 'P 1'
_space_group_IT_number 1
loop_
_space_group_symop_operation_xyz
'x,y,z'
loop_
_atom_site_label
_atom_site_fract_x
_atom_site_fract_y
_atom_site_fract_z
Ag1 0.4346 0.3869 0.4153
Ag2 0.3907 0.0723 0.3972
Ag3 0.7332 0.1909 0.0898
Ag4 0.2668 0.8091 0.9102
Ag5 0.5654 0.6131 0.5847
Ag6 0.6093 0.9277 0.6028
Sb1 0.0000 0.0000 0.0000
Sb2 0.8927 0.9853 0.2654
Sb3 0.1073 0.0147 0.7346
Li1 0.3198 0.5892 0.1318
Li2 0.6802 0.4108 0.8682
# calculated total energy: -34.1 eV for the cell shown
# formation energy from raw total energies: -0.073 eV per atom

# 12
# LiAgSb2 GGA-PBE relaxed
data_LiAgSb2
_chemical_formula_sum 'Li1 Ag1 Sb2'
_cell_length_a 4.5330
_cell_length_b 4.5330
_cell_length_c 6.1268
_cell_angle_alpha 68.29
_cell_angle_beta 68.29
_cell_angle_gamma 60.00
_space_group_name_H-M_alt 'P 1'
_space_group_IT_number 1
loop_
_space_group_symop_operation_xyz
'x,y,z'
loop_
_atom_site_label
_atom_site_fract_x
_atom_site_fract_y
_atom_site_fract_z
Sb1 0.2537 0.2537 0.2389
Sb2 0.0821 0.0821 0.7536
Ag1 0.6688 0.6688 0.9937
Li1 0.4954 0.4954 0.5138
# calculated total energy: -13.5 eV for the cell shown
# formation energy from raw total energies: -0.118 eV per atom